CuReIr2 | Alexandria | GGA-PBE | relaxed; M_tot = 0.000 μB/cell; D(E_F) = 0.9876 states/eV/atom; E above lowest polymorph = 0.553 eV/f.u.; E_form = 0.044 eV per atom; space-group type = No. 12
1.0
4.496 -1.354 0.000
4.496 1.354 0.000
-0.771 0.000 4.632
Cu Re Ir
1 1 2
Direct
0.000 0.000 0.000
0.500 0.500 0.500
0.248 0.248 0.750
0.752 0.752 0.250

---

Cu2ReIr | Alexandria | GGA-PBE | relaxed; M_tot = 0.000 μB/cell; D(E_F) = 0.7275 states/eV/atom; E above lowest polymorph = 0.000 eV/f.u.; E_form = 0.064 eV per atom; space-group type = No. 99
1.0
2.738 0.000 0.000
0.000 2.738 0.000
0.000 0.000 7.188
Cu Re Ir
2 1 1
Direct
0.000 0.000 0.000
0.500 0.500 0.226
0.500 0.500 0.739
0.000 0.000 0.486